VASP calculation (GGA-PBE) on a geometry-optimized Ac4VN5 structure.

Output
- Total energy: -0.28069 Ha/atom
- Calculated volume: 184.98 Å³ per cell
- Space group: I4

a = 5.5668 Å, b = 6.4013 Å, c = 6.4013 Å
α = 79.10°, β = 64.23°, γ = 64.23°
With the nearest neighbours (Å) after each atom.
Fractional positions:
Ac1 0.3827 0.4209 0.8103  4 N 2.49-2.76
Ac2 0.8036 0.8103 0.5791  4 N 2.49-2.76
Ac3 0.1930 0.1897 0.4209  4 N 2.49-2.76
Ac4 0.6139 0.5791 0.1897  4 N 2.49-2.76
V1 0.0767 0.0000 0.0000  1 N 1.75
N1 0.9285 0.3306 0.8371  1 V 2.15
N2 0.2591 0.8371 0.6694  1 V 2.15
N3 0.7656 0.1629 0.3306  1 V 2.15
N4 0.0962 0.6694 0.1629  1 V 2.15
N5 0.3909 0.0000 0.0000  1 V 1.75